K2TlPtCl6 | GGA-PBE | relaxed

Computed properties:
Formation energy (no corrections), meV per atom: -1108
Mass density, g/cm³: 3.4
Crystal system: trigonal
Energy, eV/f.u.: -32.76

a = 7.1123 Å, b = 7.1123 Å, c = 45.6956 Å
α = 90.00°, β = 90.00°, γ = 120.00°
With the nearest neighbours (Å) after each atom.
Space group R-3m (No. 166, hexagonal axes)
Inequivalent atoms, fractional coordinates:
K (0.0000, 0.0000, 0.1449) x6  9 Cl 3.22-3.58
K (0.0000, 0.0000, 0.3119) x6  9 Cl 3.21-3.58
Tl (0.0000, 0.0000, 0.4165) x6  6 Cl 3.11-3.20
Pt (0.0000, 0.0000, 0.0000) x3  6 Cl 2.42
Pt (0.0000, 0.0000, 0.5000) x3  6 Cl 2.46
Cl (0.0087, 0.5044, 0.1352) x18  1 Pt 2.46
Cl (0.0140, 0.5070, 0.6976) x18  1 Pt 2.42